No. 1
VASP calculation (PBE-GGA) on an optimized crystal structure of AsW2Cl.

Calculated values
The final energy is -7.2254 eV/atom. The formation energy from raw total energies comes out at 0.875 eV per atom. For the size of the total moment, the calculation gives 0.00 μB/cell. Its distance to the lowest polymorph of the same formula is 0.887 eV per atom. As for the crystal system: orthorhombic. Its space group is Immm (71).

Structure (POSCAR):
```
AsW2Cl
1.0
5.3043 0.0036 0.0044
1.5942 5.0591 -0.0044
-2.3661 -4.0073 2.5455
As W Cl
1 2 1
Direct
0.7500 0.2500 0.5000
0.9973 0.9973 0.0000
0.5027 0.5027 0.0000
0.2500 0.7500 0.5000
```

No. 2
VASP calculation (PBE-GGA) on an optimized crystal structure of CrGa2Rh.

Calculated values
The final energy is -5.6472 eV/atom. For the size of the total moment, the calculation gives 6.28 μB/cell. As for the crystal system: tetragonal. The value obtained for the energy of formation is 0.110 eV/atom. Its space group is I-42d (122).

Structure (POSCAR):
```
CrGa2Rh
1.0
6.8853 0.0000 0.0000
0.0000 6.8853 0.0000
3.4426 3.4426 2.7338
Cr Ga Rh
2 4 2
Direct
0.5000 0.5000 0.0000
0.2500 0.7500 0.5000
0.3750 0.3628 0.7500
0.8750 0.8872 0.7500
0.6372 0.1250 0.2500
0.1128 0.6250 0.2500
0.0000 0.0000 0.0000
0.7500 0.2500 0.5000
```

No. 3
VASP calculation (PBE-GGA) on an optimized crystal structure of Ac3Mo5N12.

Calculated values
The final energy is -8.9857 eV/atom. The formation energy from raw total energies comes out at -0.666 eV per atom. For the size of the total moment, the calculation gives 0.00 μB/cell. As for the crystal system: cubic. Its space group is Ia-3d (230).

Structure (POSCAR):
```
Ac3Mo5N12
1.0
11.5225 0.0000 0.0000
-3.8408 10.8635 0.0000
-3.8408 -5.4317 9.4081
Ac N Mo
12 48 20
Direct
0.2500 0.6250 0.8750
0.6250 0.3750 0.7500
0.8750 0.7500 0.1250
0.7500 0.3750 0.1250
0.1250 0.2500 0.8750
0.6250 0.2500 0.3750
0.7500 0.8750 0.6250
0.3750 0.7500 0.6250
0.2500 0.1250 0.3750
0.8750 0.1250 0.2500
0.1250 0.8750 0.7500
0.3750 0.6250 0.2500
0.3168 0.8114 0.4222
0.1832 0.0778 0.6886
0.8168 0.9222 0.3114
0.4947 0.6832 0.1054
0.3893 0.3946 0.0778
0.4947 0.8114 0.8893
0.6054 0.6107 0.4222
0.3168 0.5053 0.3946
0.4222 0.1107 0.6054
0.8114 0.3168 0.9222
0.8946 0.8168 0.5053
0.1054 0.1832 0.4947
0.1054 0.9222 0.1107
0.0053 0.6107 0.6886
0.1886 0.5053 0.6107
0.3893 0.9947 0.8114
0.9222 0.1054 0.6107
0.3946 0.0053 0.3168
0.6832 0.1886 0.5778
0.5053 0.1886 0.1107
0.9222 0.8168 0.8114
0.6107 0.0053 0.1886
0.8893 0.3114 0.4947
0.4222 0.3114 0.3168
0.8168 0.8946 0.0053
0.6886 0.5778 0.1832
0.8114 0.4947 0.3893
0.3114 0.8893 0.9947
0.6832 0.4947 0.6054
0.0053 0.3946 0.8168
0.8893 0.5778 0.8946
0.6054 0.9947 0.6832
0.5778 0.8893 0.3946
0.6886 0.1107 0.0053
0.9947 0.6054 0.1832
0.1832 0.1054 0.9947
0.0778 0.1832 0.1886
0.5053 0.3168 0.8946
0.3114 0.4222 0.8168
0.9947 0.3893 0.3114
0.6107 0.6054 0.9222
0.1107 0.6886 0.5053
0.0778 0.8946 0.3893
0.1107 0.4222 0.1054
0.1886 0.6832 0.0778
0.5778 0.6886 0.6832
0.8946 0.0778 0.8893
0.3946 0.3893 0.5778
0.2500 0.8750 0.1250
0.3750 0.2500 0.1250
0.0000 0.0000 0.0000
0.5000 0.0000 0.5000
0.5000 0.5000 0.5000
0.7500 0.6250 0.3750
0.0000 0.0000 0.5000
0.1250 0.7500 0.3750
0.0000 0.5000 0.0000
0.6250 0.7500 0.8750
0.1250 0.3750 0.2500
0.2500 0.3750 0.6250
0.3750 0.1250 0.7500
0.7500 0.1250 0.8750
0.8750 0.2500 0.6250
0.5000 0.0000 0.0000
0.0000 0.5000 0.5000
0.8750 0.6250 0.7500
0.6250 0.8750 0.2500
0.5000 0.5000 0.0000
```

No. 4
VASP calculation (PBE-GGA) on an optimized crystal structure of Pr2NdCu2Sn2.

Calculated values
The final energy is -4.7735 eV/atom. For the size of the total moment, the calculation gives 0.00 μB/cell. As for the crystal system: trigonal. The value obtained for the energy of formation is -0.413 eV/atom. Its space group is R-3m (166).

Structure (POSCAR):
```
Pr2NdCu2Sn2
1.0
4.6202 0.0000 0.0000
2.3101 4.0012 0.0000
2.3101 1.3337 9.7987
Pr Cu Sn Nd
2 2 2 1
Direct
0.8720 0.8720 0.3840
0.1280 0.1280 0.6160
0.5974 0.5974 0.2079
0.4026 0.4026 0.7921
0.7338 0.7338 0.7985
0.2662 0.2662 0.2015
0.0000 0.0000 0.0000
```

Q: Which value of size of the total moment does entry 3 give?
A: 0.00 μB/cell